No. 1
Material: LuMn3
Method: DFT, PBE
State: optimized geometry

a b c (Å): 4.043 4.043 4.043
angles (deg): 90.00 90.00 90.00
Fractional coordinates of all 4 atoms:
1 Mn 0.500 0.000 0.500
2 Mn 0.000 0.500 0.500
3 Lu 0.000 0.000 0.000
4 Mn 0.500 0.500 0.000

Results
Energy of formation ... 0.27 eV per atom


No. 2
Material: CoReI2
Method: DFT, PBE
State: optimized geometry

a b c (Å): 5.844 5.844 7.138
angles (deg): 65.84 65.84 90.00
Fractional coordinates of all 8 atoms:
1 Re 0.000 0.000 0.000
2 Co 0.250 0.750 0.500
3 I 0.875 0.856 0.750
4 I 0.144 0.625 0.250
5 I 0.606 0.125 0.250
6 I 0.375 0.394 0.750
7 Re 0.750 0.250 0.500
8 Co 0.500 0.500 0.000

Results
Distance to the lowest polymorph of the same formula ... 0.0 meV/atom
Formation energy from raw total energies ... 1.170 eV/atom


No. 3
Material: ScPtI2Br
Method: DFT, PBE
State: optimized geometry

a b c (Å): 5.474 5.166 5.474
angles (deg): 90.00 90.00 90.00
Fractional coordinates of all 5 atoms:
1 I 0.500 0.000 0.000
2 I 0.000 0.000 0.500
3 Pt 0.000 0.000 0.000
4 Br 0.000 0.500 0.000
5 Sc 0.500 0.500 0.500

Results
Formation energy from raw total energies ... 0.030 eV/atom


No. 4
Material: Cd2In6Pb
Method: DFT, PBE
State: optimized geometry

a b c (Å): 3.380 3.380 24.656
angles (deg): 90.00 90.00 120.00
Fractional coordinates of all 9 atoms:
1 Pb 0.333 0.667 0.000
2 In 0.333 0.667 0.562
3 In 0.667 0.333 0.119
4 In 0.333 0.667 0.438
5 Cd 0.667 0.333 0.665
6 In 0.333 0.667 0.770
7 In 0.667 0.333 0.881
8 In 0.333 0.667 0.230
9 Cd 0.667 0.333 0.335

Results
Distance to the lowest polymorph of the same formula ... 0.0 meV/atom
Energy of formation ... 0.03 eV per atom


Total energy (computed, eV per formula unit): -30.94 -17.98 -17.00 -21.74